(1)
## RbV2GeO8 (GGA+U)

Data for a relaxed structure of RbV2GeO8.

The structure in extended XYZ format:
```
12
Lattice="5.5105 0.0000 0.0000 -2.7553 4.7722 0.0000 0.0000 0.0000 7.8873" Properties=species:S:1:pos:R:3 pbc="T T T"
Rb 0.0000 0.0000 0.0000
V 0.0000 3.1815 5.5915
V 2.7553 1.5907 2.2959
Ge 0.0000 0.0000 3.9437
O -0.1388 1.5086 5.0590
O -1.3794 4.1381 5.0590
O 1.2371 0.8745 2.8284
O 0.0000 3.1815 7.2581
O 2.7553 1.5907 0.6292
O 1.5181 3.8978 5.0590
O 4.1346 0.6342 2.8284
O 2.8940 3.2636 2.8284
```

## Properties
Calculated total energy, eV/f.u.: -80.258

(2)
## Rb2VGeO4 (GGA+U)

Data for a relaxed structure of Rb2VGeO4.

The structure in extended XYZ format:
```
16
Lattice="0.0000 6.3528 9.9460 2.8655 0.0000 9.9460 2.8655 6.3528 0.0000" Properties=species:S:1:pos:R:3 pbc="T T T"
Rb 2.1492 4.7646 1.0667
Rb 3.5819 7.9410 6.0397
Rb 2.1492 4.7646 13.8524
Rb 3.5819 7.9410 18.8254
V 0.7164 1.5882 2.4865
V 5.0147 11.1174 17.4056
Ge 2.1492 4.7646 7.4595
Ge 3.5819 7.9410 12.4325
O 1.9433 2.6397 3.3611
O 3.7878 5.8161 8.3341
O 2.3550 6.8895 3.3611
O 2.3550 2.6397 11.5579
O 3.3761 10.0659 8.3341
O 3.3761 5.8161 16.5310
O 1.9433 6.8895 11.5579
O 3.7878 10.0659 16.5310
```

## Properties
Calculated total energy, eV/f.u.: -45.797

(3)
## RbVGe2O6 (GGA+U)

Data for a relaxed structure of RbVGe2O6.

The structure in extended XYZ format:
```
20
Lattice="5.3163 -5.8896 0.0000 5.3163 5.8896 0.0000 -1.7606 0.0000 5.3780" Properties=species:S:1:pos:R:3 pbc="T T T"
Rb 3.9959 4.7020 4.0335
Rb 4.8762 -4.7020 1.3445
V 4.8762 2.9763 1.3445
V 3.9959 -2.9763 4.0335
Ge 1.6767 0.9483 4.4073
Ge 2.5570 -0.9483 1.7183
Ge 6.3151 0.9483 3.6597
Ge 7.1954 -0.9483 0.9707
O 5.3745 -4.3558 4.0492
O 3.4976 4.3558 1.3288
O 2.8160 2.0832 5.0808
O 6.2547 4.3558 1.3602
O 2.3180 0.4711 2.7929
O 3.1983 -0.4711 0.1039
O 5.1758 2.0832 2.9862
O 3.6963 -2.0832 2.3918
O 5.6738 0.4711 5.2741
O 6.5541 -0.4711 2.5851
O 2.6173 -4.3558 4.0178
O 6.0561 -2.0832 0.2972
```

## Properties
Calculated total energy, eV/f.u.: -64.367

(4)
## Rb2GeWO6 (GGA+U)

Data for a relaxed structure of Rb2GeWO6.

The structure in extended XYZ format:
```
10
Lattice="0.0000 3.9670 3.9670 3.9670 0.0000 3.9670 3.9670 3.9670 0.0000" Properties=species:S:1:pos:R:3 pbc="T T T"
Rb 1.9835 1.9835 1.9835
Rb 5.9505 5.9505 5.9505
Ge 0.0000 0.0000 0.0000
W 3.9670 3.9670 3.9670
O 3.9670 3.9670 1.9873
O 3.9670 1.9873 3.9670
O 5.9467 3.9670 3.9670
O 1.9873 3.9670 3.9670
O 3.9670 5.9467 3.9670
O 3.9670 3.9670 5.9467
```

## Properties
Calculated total energy, eV/f.u.: -60.329

(5)
## RbGeW2O8 (GGA+U)

Data for a relaxed structure of RbGeW2O8.

The structure in extended XYZ format:
```
12
Lattice="5.6250 0.0000 0.0000 -2.8125 4.8714 0.0000 0.0000 0.0000 8.1593" Properties=species:S:1:pos:R:3 pbc="T T T"
Rb 0.0000 0.0000 0.0000
Ge 0.0000 0.0000 4.0796
W 0.0000 3.2476 5.8319
W 2.8125 1.6238 2.3274
O -0.4889 1.5611 5.2823
O -1.2161 4.5142 5.2823
O 1.1075 1.2040 2.8770
O 0.0000 3.2476 7.6066
O 2.8125 1.6238 0.5527
O 1.7050 3.6674 5.2823
O 4.0286 0.3572 2.8770
O 3.3014 3.3102 2.8770
```

## Properties
Calculated total energy, eV/f.u.: -80.588

(6)
## RbGe2WO8 (GGA+U)

Data for a relaxed structure of RbGe2WO8.

The structure in extended XYZ format:
```
12
Lattice="4.4740 -2.8123 0.0000 4.4740 2.8123 0.0000 -1.9510 0.0000 7.8428" Properties=species:S:1:pos:R:3 pbc="T T T"
Rb 0.0000 0.0000 0.0000
Ge 2.1801 0.0000 5.6154
Ge 4.8169 0.0000 2.2274
W -0.9755 0.0000 3.9214
O 0.8704 0.0000 4.4165
O 3.8351 1.4438 2.5700
O 3.1618 1.4438 5.2728
O 1.5405 0.0000 7.2398
O 5.4565 0.0000 0.6030
O 3.8351 -1.4438 2.5700
O 3.1618 -1.4438 5.2728
O 6.1266 0.0000 3.4263
```

## Properties
Calculated total energy, eV/f.u.: -76.521

Q: calculated total energy of number 3 (RbVGe2O6)?
A: -64.367 eV/f.u.

Copy entry 4 word for word.
## Rb2GeWO6 (GGA+U)

Data for a relaxed structure of Rb2GeWO6.

The structure in extended XYZ format:
```
10
Lattice="0.0000 3.9670 3.9670 3.9670 0.0000 3.9670 3.9670 3.9670 0.0000" Properties=species:S:1:pos:R:3 pbc="T T T"
Rb 1.9835 1.9835 1.9835
Rb 5.9505 5.9505 5.9505
Ge 0.0000 0.0000 0.0000
W 3.9670 3.9670 3.9670
O 3.9670 3.9670 1.9873
O 3.9670 1.9873 3.9670
O 5.9467 3.9670 3.9670
O 1.9873 3.9670 3.9670
O 3.9670 5.9467 3.9670
O 3.9670 3.9670 5.9467
```

## Properties
Calculated total energy, eV/f.u.: -60.329